1.
# PBE Sm3Ni6As5, relaxed
# **Magnetic moment**: 0.00 μB per formula unit
# **ΔE_f**: -0.83 eV per atom
# **Mass density**: 8.399 g/cm³
data_Sm3Ni6As5
_chemical_formula_sum 'Sm6 Ni12 As10'
_space_group_name_H-M_alt 'P m m n'
_space_group_IT_number 59
_cell_length_a 3.987
_cell_length_b 12.066
_cell_length_c 9.682
_cell_angle_alpha 90.00
_cell_angle_beta 90.00
_cell_angle_gamma 90.00
loop_
_space_group_symop_operation_xyz
'x,y,z'
'-x,-y,-z'
'-x+1/2,-y+1/2,z'
'x+1/2,y+1/2,-z'
'x+1/2,-y,-z'
'-x+1/2,y,z'
'-x,y+1/2,-z'
'x,-y+1/2,z'
loop_
_atom_site_label
_atom_site_type_symbol
_atom_site_fract_x
_atom_site_fract_y
_atom_site_fract_z
Sm1 Sm 0.250 0.086 0.248
Sm2 Sm 0.250 0.750 0.252
Ni1 Ni 0.250 0.068 0.889
Ni2 Ni 0.250 0.250 0.007
Ni3 Ni 0.250 0.250 0.506
Ni4 Ni 0.250 0.579 0.496
As1 As 0.250 0.082 0.642
As2 As 0.250 0.619 0.986
As3 As 0.250 0.750 0.628

2.
# PBE SmNi3As3, relaxed
# **Magnetic moment**: 0.00 μB per formula unit
# **ΔE_f**: -0.39 eV per atom
# **Mass density**: 6.937 g/cm³
data_SmNi3As3
_chemical_formula_sum 'Sm2 Ni6 As6'
_space_group_name_H-M_alt 'P m -3 n'
_space_group_IT_number 223
_space_group_name_Hall '-P 4n 2 3'
_cell_length_a 6.414
_cell_length_b 6.414
_cell_length_c 6.414
_cell_angle_alpha 90.00
_cell_angle_beta 90.00
_cell_angle_gamma 90.00
loop_
_atom_site_label
_atom_site_type_symbol
_atom_site_fract_x
_atom_site_fract_y
_atom_site_fract_z
Sm1 Sm 0.000 0.000 0.000
Ni1 Ni 0.000 0.250 0.500
As1 As 0.000 0.500 0.250

3.
# PBE SmNi5As2, relaxed
# **Magnetic moment**: 0.00 μB per formula unit
# **ΔE_f**: -0.49 eV per atom
# **Mass density**: 8.518 g/cm³
data_SmNi5As2
_chemical_formula_sum 'Sm2 Ni10 As4'
_space_group_name_H-M_alt 'I m m m'
_space_group_IT_number 71
_space_group_name_Hall '-I 2 2'
_cell_length_a 3.813
_cell_length_b 6.629
_cell_length_c 9.157
_cell_angle_alpha 90.00
_cell_angle_beta 90.00
_cell_angle_gamma 90.00
loop_
_atom_site_label
_atom_site_type_symbol
_atom_site_fract_x
_atom_site_fract_y
_atom_site_fract_z
Sm1 Sm 0.000 0.000 0.000
Ni1 Ni 0.000 0.186 0.358
Ni2 Ni 0.000 0.500 0.000
As1 As 0.000 0.500 0.248

4.
# PBE Sm2Ni5As3, relaxed
# **Magnetic moment**: 0.00 μB per formula unit
# **ΔE_f**: -0.64 eV per atom
# **Mass density**: 7.980 g/cm³
data_Sm2Ni5As3
_chemical_formula_sum 'Sm8 Ni20 As12'
_space_group_name_H-M_alt 'C m c 21'
_space_group_IT_number 36
_space_group_name_Hall 'C 2c -2'
_cell_length_a 4.043
_cell_length_b 23.948
_cell_length_c 7.041
_cell_angle_alpha 90.00
_cell_angle_beta 90.00
_cell_angle_gamma 90.00
loop_
_atom_site_label
_atom_site_type_symbol
_atom_site_fract_x
_atom_site_fract_y
_atom_site_fract_z
Sm1 Sm 0.000 0.041 0.000
Sm2 Sm 0.000 0.335 0.890
Ni1 Ni 0.000 0.075 0.406
Ni2 Ni 0.000 0.210 0.823
Ni3 Ni 0.000 0.242 0.180
Ni4 Ni 0.000 0.355 0.334
Ni5 Ni 0.000 0.447 0.148
As1 As 0.000 0.120 0.687
As2 As 0.000 0.269 0.505
As3 As 0.000 0.463 0.805

5.
# PBE SmNi2As2, relaxed
# **Magnetic moment**: 0.00 μB per formula unit
# **ΔE_f**: -0.82 eV per atom
# **Mass density**: 8.357 g/cm³
data_SmNi2As2
_chemical_formula_sum 'Sm2 Ni4 As4'
_space_group_name_H-M_alt 'P 4/n m m'
_space_group_IT_number 129
_cell_length_a 4.190
_cell_length_b 4.190
_cell_length_c 9.451
_cell_angle_alpha 90.00
_cell_angle_beta 90.00
_cell_angle_gamma 90.00
loop_
_space_group_symop_operation_xyz
'x,y,z'
'-x,-y,-z'
'-y+1/2,x,z'
'y+1/2,-x,-z'
'-x+1/2,-y+1/2,z'
'x+1/2,y+1/2,-z'
'y,-x+1/2,z'
'-y,x+1/2,-z'
'x+1/2,-y,-z'
'-x+1/2,y,z'
'-y,-x,-z'
'y,x,z'
'-x,y+1/2,-z'
'x,-y+1/2,z'
'y+1/2,x+1/2,-z'
'-y+1/2,-x+1/2,z'
loop_
_atom_site_label
_atom_site_type_symbol
_atom_site_fract_x
_atom_site_fract_y
_atom_site_fract_z
Sm1 Sm 0.250 0.250 0.247
Ni1 Ni 0.250 0.250 0.620
Ni2 Ni 0.250 0.750 0.000
As1 As 0.250 0.250 0.871
As2 As 0.250 0.750 0.500

6.
# PBE Sm2Ni4SnAs3, relaxed
# **Magnetic moment**: 0.00 μB per formula unit
# **ΔE_f**: -0.73 eV per atom
# **Mass density**: 8.421 g/cm³
data_Sm2Ni4SnAs3
_chemical_formula_sum 'Sm2 Ni4 Sn1 As3'
_space_group_name_H-M_alt 'P -4 m 2'
_space_group_IT_number 115
_space_group_name_Hall 'P -4 -2'
_cell_length_a 4.148
_cell_length_b 4.148
_cell_length_c 10.075
_cell_angle_alpha 90.00
_cell_angle_beta 90.00
_cell_angle_gamma 90.00
loop_
_atom_site_label
_atom_site_type_symbol
_atom_site_fract_x
_atom_site_fract_y
_atom_site_fract_z
Sm1 Sm 0.000 0.500 0.232
Ni1 Ni 0.000 0.000 0.000
Ni2 Ni 0.000 0.500 0.642
Ni3 Ni 0.500 0.500 0.000
Sn1 Sn 0.000 0.000 0.500
As1 As 0.000 0.500 0.874
As2 As 0.500 0.500 0.500

> Which value of magnetic moment does entry 6 give?

0.00 μB per formula unit